[1]
The following is a meta-GGA SCAN calculation of a PBEsol-optimized structure of BeNi5, from Alexandria via LeMat-Bulk.

POSCAR file:
```
BeNi5
1.0
-1.8584 -1.5062 0.6123
-0.2755 -0.6248 -2.3730
6.2321 -7.2117 1.1753
Be Ni
1 5
direct
0.5000 0.5000 0.0000
0.0000 0.0000 0.8577
0.0000 0.0000 0.1423
0.5000 0.5000 0.6768
0.5000 0.5000 0.3232
0.0000 0.0000 0.5000
```

formation enthalpy at 0 K = -3.72 kcal/mol of atoms
E above lowest polymorph = 0 meV per atom
DOS(E_F) = 0.863 states/eV/atom

---

[2]
The following is a meta-GGA SCAN calculation of a PBEsol-optimized structure of TlSiBi2, from Alexandria via LeMat-Bulk.

POSCAR file:
```
TlSiBi2
1.0
-0.6555 6.4176 1.0931
-5.6861 3.0673 -1.8358
-2.6408 2.0749 5.8164
Tl Si Bi
2 2 4
direct
0.0000 0.0000 0.0000
0.7500 0.5000 0.5000
0.5000 0.0000 0.0000
0.2500 0.5000 0.5000
0.5808 0.0442 0.5442
0.1692 0.9558 0.4558
0.3750 0.4558 0.0442
0.8750 0.5442 0.9558
```

energy relative to the elements, uncorrected = 333 meV/atom
DOS(E_F) = 0.516 states/eV/atom